(P)
Material: RbH2AuO
Method: DFT, GGA-PBE
State: relaxed

CIF file:
```
data_RbH2AuO
_chemical_formula_sum 'Rb1 H2 Au1 O1'
_symmetry_space_group_name_H-M 'P 1 m 1'
_symmetry_Int_Tables_number 6
_symmetry_space_group_name_Hall 'P -2y'
_cell_length_a 4.4899
_cell_length_b 4.8639
_cell_length_c 5.5100
_cell_angle_alpha 90.00
_cell_angle_beta 92.22
_cell_angle_gamma 90.00
loop_
_atom_site_label
_atom_site_fract_x
_atom_site_fract_y
_atom_site_fract_z
Rb1 0.0000 0.0000 0.0000
H1 0.5120 0.1615 0.4543
Au1 0.4869 0.5000 0.7391
O1 0.5194 0.0000 0.3424
```

Summary:
The calculation puts the magnetic moment at 0.00 Bohr magnetons per cell. As for the crystal system: monoclinic. The calculation puts the density of states at the Fermi level at 0.00 states/eV per atom.

***

(Q)
Material: RbH2AuO
Method: DFT, GGA-PBE
State: relaxed

CIF file:
```
data_RbH2AuO
_chemical_formula_sum 'Rb1 H2 Au1 O1'
_symmetry_space_group_name_H-M 'P 1'
_symmetry_Int_Tables_number 1
_symmetry_space_group_name_Hall 'P 1'
_cell_length_a 4.4529
_cell_length_b 4.6947
_cell_length_c 5.5746
_cell_angle_alpha 93.53
_cell_angle_beta 91.61
_cell_angle_gamma 114.80
loop_
_atom_site_label
_atom_site_fract_x
_atom_site_fract_y
_atom_site_fract_z
Rb1 0.0000 0.0000 0.0000
H1 0.4378 0.5596 0.6706
H2 0.6187 0.4072 0.2777
Au1 0.8988 0.4823 0.4856
O1 0.2649 0.5847 0.7642
```

Summary:
The calculation puts the magnetic moment at 0.05 Bohr magnetons per cell. As for the crystal system: triclinic. The calculation puts the density of states at the Fermi level at 0.00 states/eV per atom.

***

Verdict on stability: (P) comes out on top.

***

(P)
Material: HOsAu2
Method: DFT, GGA-PBE
State: relaxed

CIF file:
```
data_HOsAu2
_chemical_formula_sum 'H4 Os4 Au8'
_symmetry_space_group_name_H-M 'F m -3 m'
_symmetry_Int_Tables_number 225
_symmetry_space_group_name_Hall '-F 4 2 3'
_cell_length_a 6.2382
_cell_length_b 6.2382
_cell_length_c 6.2382
_cell_angle_alpha 90.00
_cell_angle_beta 90.00
_cell_angle_gamma 90.00
loop_
_atom_site_label
_atom_site_fract_x
_atom_site_fract_y
_atom_site_fract_z
H1 0.0000 0.0000 0.0000
Os1 0.0000 0.0000 0.5000
Au1 0.2500 0.2500 0.2500
```

Summary:
The calculation puts the magnetic moment at 6.12 Bohr magnetons per cell. As for the crystal system: cubic. The calculation puts the density of states at the Fermi level at 1.37 states/eV per atom.

***

(Q)
Material: HOsAu2
Method: DFT, GGA-PBE
State: relaxed

CIF file:
```
data_HOsAu2
_chemical_formula_sum 'H4 Os4 Au8'
_symmetry_space_group_name_H-M 'I -4 2 d'
_symmetry_Int_Tables_number 122
_symmetry_space_group_name_Hall 'I -4 2bw'
_cell_length_a 6.1882
_cell_length_b 6.1882
_cell_length_c 5.7625
_cell_angle_alpha 90.00
_cell_angle_beta 90.00
_cell_angle_gamma 90.00
loop_
_atom_site_label
_atom_site_fract_x
_atom_site_fract_y
_atom_site_fract_z
H1 0.0000 0.0000 0.0000
Os1 0.0000 0.0000 0.5000
Au1 0.1543 0.2500 0.1250
```

Summary:
The calculation puts the magnetic moment at 0.00 Bohr magnetons per cell. As for the crystal system: tetragonal. The calculation puts the density of states at the Fermi level at 1.01 states/eV per atom.

***

Verdict on stability: (Q) comes out on top.

***

(P)
Material: HOs2Au
Method: DFT, GGA-PBE
State: relaxed

CIF file:
```
data_HOs2Au
_chemical_formula_sum 'H4 Os8 Au4'
_symmetry_space_group_name_H-M 'I -4 2 d'
_symmetry_Int_Tables_number 122
_symmetry_space_group_name_Hall 'I -4 2bw'
_cell_length_a 6.1270
_cell_length_b 6.1270
_cell_length_c 5.3445
_cell_angle_alpha 90.00
_cell_angle_beta 90.00
_cell_angle_gamma 90.00
loop_
_atom_site_label
_atom_site_fract_x
_atom_site_fract_y
_atom_site_fract_z
H1 0.0000 0.0000 0.0000
Os1 0.1474 0.2500 0.1250
Au1 0.0000 0.0000 0.5000
```

Summary:
The calculation puts the magnetic moment at 0.00 Bohr magnetons per cell. As for the crystal system: tetragonal. The calculation puts the density of states at the Fermi level at 0.34 states/eV per atom.

***

(Q)
Material: HOs2Au
Method: DFT, GGA-PBE
State: relaxed

CIF file:
```
data_HOs2Au
_chemical_formula_sum 'H4 Os8 Au4'
_symmetry_space_group_name_H-M 'F m -3 m'
_symmetry_Int_Tables_number 225
_symmetry_space_group_name_Hall '-F 4 2 3'
_cell_length_a 5.9999
_cell_length_b 5.9999
_cell_length_c 5.9999
_cell_angle_alpha 90.00
_cell_angle_beta 90.00
_cell_angle_gamma 90.00
loop_
_atom_site_label
_atom_site_fract_x
_atom_site_fract_y
_atom_site_fract_z
H1 0.0000 0.0000 0.0000
Os1 0.2500 0.2500 0.2500
Au1 0.0000 0.0000 0.5000
```

Summary:
The calculation puts the magnetic moment at 0.00 Bohr magnetons per cell. As for the crystal system: cubic. The calculation puts the density of states at the Fermi level at 0.78 states/eV per atom.

***

Verdict on stability: (P) comes out on top.

***

(P)
Material: P2HAu
Method: DFT, GGA-PBE
State: relaxed

CIF file:
```
data_P2HAu
_chemical_formula_sum 'P8 H4 Au4'
_symmetry_space_group_name_H-M 'I -4 2 d'
_symmetry_Int_Tables_number 122
_symmetry_space_group_name_Hall 'I -4 2bw'
_cell_length_a 4.1441
_cell_length_b 4.1441
_cell_length_c 13.5690
_cell_angle_alpha 90.00
_cell_angle_beta 90.00
_cell_angle_gamma 90.00
loop_
_atom_site_label
_atom_site_fract_x
_atom_site_fract_y
_atom_site_fract_z
P1 0.1377 0.2500 0.1250
H1 0.0000 0.0000 0.0000
Au1 0.0000 0.0000 0.5000
```

Summary:
The calculation puts the magnetic moment at 0.00 Bohr magnetons per cell. As for the crystal system: tetragonal. The calculation puts the density of states at the Fermi level at 0.20 states/eV per atom.

***

(Q)
Material: P2HAu
Method: DFT, GGA-PBE
State: relaxed

CIF file:
```
data_P2HAu
_chemical_formula_sum 'P8 H4 Au4'
_symmetry_space_group_name_H-M 'F m -3 m'
_symmetry_Int_Tables_number 225
_symmetry_space_group_name_Hall '-F 4 2 3'
_cell_length_a 6.0412
_cell_length_b 6.0412
_cell_length_c 6.0412
_cell_angle_alpha 90.00
_cell_angle_beta 90.00
_cell_angle_gamma 90.00
loop_
_atom_site_label
_atom_site_fract_x
_atom_site_fract_y
_atom_site_fract_z
P1 0.2500 0.2500 0.2500
H1 0.0000 0.0000 0.0000
Au1 0.0000 0.0000 0.5000
```

Summary:
The calculation puts the magnetic moment at 0.00 Bohr magnetons per cell. As for the crystal system: cubic. The calculation puts the density of states at the Fermi level at 0.00 states/eV per atom.

***

Verdict on stability: (P) comes out on top.

***

(P)
Material: PHAu2
Method: DFT, GGA-PBE
State: relaxed

CIF file:
```
data_PHAu2
_chemical_formula_sum 'P4 H4 Au8'
_symmetry_space_group_name_H-M 'I -4 2 d'
_symmetry_Int_Tables_number 122
_symmetry_space_group_name_Hall 'I -4 2bw'
_cell_length_a 4.8370
_cell_length_b 4.8370
_cell_length_c 10.9465
_cell_angle_alpha 90.00
_cell_angle_beta 90.00
_cell_angle_gamma 90.00
loop_
_atom_site_label
_atom_site_fract_x
_atom_site_fract_y
_atom_site_fract_z
P1 0.0000 0.0000 0.0000
H1 0.0000 0.0000 0.5000
Au1 0.1714 0.2500 0.6250
```

Summary:
The calculation puts the magnetic moment at 0.00 Bohr magnetons per cell. As for the crystal system: tetragonal. The calculation puts the density of states at the Fermi level at 0.25 states/eV per atom.

***

(Q)
Material: PHAu2
Method: DFT, GGA-PBE
State: relaxed

CIF file:
```
data_PHAu2
_chemical_formula_sum 'P4 H4 Au8'
_symmetry_space_group_name_H-M 'F m -3 m'
_symmetry_Int_Tables_number 225
_symmetry_space_group_name_Hall '-F 4 2 3'
_cell_length_a 6.1431
_cell_length_b 6.1431
_cell_length_c 6.1431
_cell_angle_alpha 90.00
_cell_angle_beta 90.00
_cell_angle_gamma 90.00
loop_
_atom_site_label
_atom_site_fract_x
_atom_site_fract_y
_atom_site_fract_z
P1 0.0000 0.0000 0.0000
H1 0.0000 0.0000 0.5000
Au1 0.2500 0.2500 0.2500
```

Summary:
The calculation puts the magnetic moment at 1.64 Bohr magnetons per cell. As for the crystal system: cubic. The calculation puts the density of states at the Fermi level at 0.44 states/eV per atom.

***

Verdict on stability: (P) comes out on top.

***

(P)
Material: P3HAu
Method: DFT, GGA-PBE
State: relaxed

CIF file:
```
data_P3HAu
_chemical_formula_sum 'P3 H1 Au1'
_symmetry_space_group_name_H-M 'P m -3 m'
_symmetry_Int_Tables_number 221
_symmetry_space_group_name_Hall '-P 4 2 3'
_cell_length_a 4.0741
_cell_length_b 4.0741
_cell_length_c 4.0741
_cell_angle_alpha 90.00
_cell_angle_beta 90.00
_cell_angle_gamma 90.00
loop_
_atom_site_label
_atom_site_fract_x
_atom_site_fract_y
_atom_site_fract_z
P1 0.0000 0.0000 0.5000
H1 0.0000 0.0000 0.0000
Au1 0.5000 0.5000 0.5000
```

Summary:
The calculation puts the magnetic moment at 0.00 Bohr magnetons per cell. As for the crystal system: cubic. The calculation puts the density of states at the Fermi level at 0.45 states/eV per atom.

***

(Q)
Material: P3HAu
Method: DFT, GGA-PBE
State: relaxed

CIF file:
```
data_P3HAu
_chemical_formula_sum 'P3 H1 Au1'
_symmetry_space_group_name_H-M 'P m -3 m'
_symmetry_Int_Tables_number 221
_symmetry_space_group_name_Hall '-P 4 2 3'
_cell_length_a 4.9051
_cell_length_b 4.9051
_cell_length_c 4.9051
_cell_angle_alpha 90.00
_cell_angle_beta 90.00
_cell_angle_gamma 90.00
loop_
_atom_site_label
_atom_site_fract_x
_atom_site_fract_y
_atom_site_fract_z
P1 0.0000 0.0000 0.5000
H1 0.5000 0.5000 0.5000
Au1 0.0000 0.0000 0.0000
```

Summary:
The calculation puts the magnetic moment at 1.26 Bohr magnetons per cell. As for the crystal system: cubic. The calculation puts the density of states at the Fermi level at 0.87 states/eV per atom.

***

Verdict on stability: (P) comes out on top.

***

(P)
Material: H2PbAu
Method: DFT, GGA-PBE
State: relaxed

CIF file:
```
data_H2PbAu
_chemical_formula_sum 'H8 Pb4 Au4'
_symmetry_space_group_name_H-M 'F m -3 m'
_symmetry_Int_Tables_number 225
_symmetry_space_group_name_Hall '-F 4 2 3'
_cell_length_a 6.1471
_cell_length_b 6.1471
_cell_length_c 6.1471
_cell_angle_alpha 90.00
_cell_angle_beta 90.00
_cell_angle_gamma 90.00
loop_
_atom_site_label
_atom_site_fract_x
_atom_site_fract_y
_atom_site_fract_z
H1 0.2500 0.2500 0.2500
Pb1 0.0000 0.0000 0.0000
Au1 0.0000 0.0000 0.5000
```

Summary:
The calculation puts the magnetic moment at 0.00 Bohr magnetons per cell. As for the crystal system: cubic. The calculation puts the density of states at the Fermi level at 0.20 states/eV per atom.

***

(Q)
Material: H2PbAu
Method: DFT, GGA-PBE
State: relaxed

CIF file:
```
data_H2PbAu
_chemical_formula_sum 'H8 Pb4 Au4'
_symmetry_space_group_name_H-M 'I -4 2 d'
_symmetry_Int_Tables_number 122
_symmetry_space_group_name_Hall 'I -4 2bw'
_cell_length_a 4.8444
_cell_length_b 4.8444
_cell_length_c 10.4943
_cell_angle_alpha 90.00
_cell_angle_beta 90.00
_cell_angle_gamma 90.00
loop_
_atom_site_label
_atom_site_fract_x
_atom_site_fract_y
_atom_site_fract_z
H1 0.0590 0.2500 0.1250
Pb1 0.0000 0.0000 0.5000
Au1 0.0000 0.0000 0.0000
```

Summary:
The calculation puts the magnetic moment at 0.00 Bohr magnetons per cell. As for the crystal system: tetragonal. The calculation puts the density of states at the Fermi level at 0.18 states/eV per atom.

***

Verdict on stability: (Q) comes out on top.

***

(P)
Material: H2Pb2Au
Method: DFT, GGA-PBE
State: relaxed

CIF file:
```
data_H2Pb2Au
_chemical_formula_sum 'H4 Pb4 Au2'
_symmetry_space_group_name_H-M 'P 4/m b m'
_symmetry_Int_Tables_number 127
_symmetry_space_group_name_Hall '-P 4 2ab'
_cell_length_a 8.0145
_cell_length_b 8.0145
_cell_length_c 3.3776
_cell_angle_alpha 90.00
_cell_angle_beta 90.00
_cell_angle_gamma 90.00
loop_
_atom_site_label
_atom_site_fract_x
_atom_site_fract_y
_atom_site_fract_z
H1 0.1069 0.3931 0.0000
Pb1 0.2149 0.2851 0.5000
Au1 0.0000 0.0000 0.5000
```

Summary:
The calculation puts the magnetic moment at 0.00 Bohr magnetons per cell. As for the crystal system: tetragonal. The calculation puts the density of states at the Fermi level at 0.29 states/eV per atom.

***

(Q)
Material: H2Pb2Au
Method: DFT, GGA-PBE
State: relaxed

CIF file:
```
data_H2Pb2Au
_chemical_formula_sum 'H4 Pb4 Au2'
_symmetry_space_group_name_H-M 'I 4/m m m'
_symmetry_Int_Tables_number 139
_symmetry_space_group_name_Hall '-I 4 2'
_cell_length_a 3.7216
_cell_length_b 3.7216
_cell_length_c 12.9310
_cell_angle_alpha 90.00
_cell_angle_beta 90.00
_cell_angle_gamma 90.00
loop_
_atom_site_label
_atom_site_fract_x
_atom_site_fract_y
_atom_site_fract_z
H1 0.0000 0.5000 0.2500
Pb1 0.0000 0.0000 0.1386
Au1 0.0000 0.0000 0.5000
```

Summary:
The calculation puts the magnetic moment at 0.00 Bohr magnetons per cell. As for the crystal system: tetragonal. The calculation puts the density of states at the Fermi level at 0.30 states/eV per atom.

***

Verdict on stability: (Q) comes out on top.